Record 1
Density functional theory data (GGA-PBE) for PrPuPt10 after structural relaxation.

Unit cell a=4.437 b=5.415 c=9.356 alpha=90.00 beta=90.00 gamma=90.00
Element x y z (fractional)
Pr 0.000 0.000 0.000
Pu 0.000 0.500 0.500
Pt 0.000 0.000 0.336
Pt 0.000 0.000 0.664
Pt 0.000 0.500 0.170
Pt 0.000 0.500 0.830
Pt 0.500 0.000 0.500
Pt 0.500 0.251 0.251
Pt 0.500 0.251 0.749
Pt 0.500 0.500 0.000
Pt 0.500 0.749 0.251
Pt 0.500 0.749 0.749

Summary:
E_tot, eV/atom: -7.2496
Density, g/cm³: 17.3

---

Record 2
Density functional theory data (GGA-PBE) for VSiCl2 after structural relaxation.

Unit cell a=11.904 b=11.904 c=11.904 alpha=14.64 beta=14.64 gamma=14.64
Element x y z (fractional)
V 0.000 0.000 0.000
Si 0.500 0.500 0.500
Cl 0.379 0.379 0.379
Cl 0.621 0.621 0.621

Summary:
E_form (uncorrected), eV per atom: -0.229
E_tot, eV/atom: -4.7882
Density, g/cm³: 2.7